# 1
A relaxed structure of YTlP2S8. Source: Alexandria via LeMat-Bulk, functional GGA-PBE.

Results
Size of the total moment = 2.07 μB per formula unit
Crystal system = trigonal
Formation energy (no corrections) = -42.8 kJ per mole of atoms
Symmetry = R-3

Lattice parameters (Å, degrees): 6.176 6.176 9.803 71.64 71.64 60.00
Site moments in Bohr magnetons follow the coordinates.
Element x y z (fractional)
Tl1 0.500 0.500 0.500  0.01
S1 0.061 0.427 0.827  0.11
S2 0.820 0.820 0.540  0.32
S3 0.686 0.061 0.827  0.11
S4 0.314 0.939 0.173  0.11
S5 0.939 0.573 0.173  0.11
S6 0.180 0.180 0.460  0.32
S7 0.427 0.686 0.827  0.11
S8 0.573 0.314 0.173  0.11
P1 0.254 0.254 0.237  -0.01
P2 0.746 0.746 0.763  -0.01
Y1 0.000 0.000 0.000  0.01

---

# 2
A relaxed structure of Er3TaFe8. Source: Alexandria via LeMat-Bulk, functional GGA-PBE.

Results
Size of the total moment = 12.87 μB per formula unit
Crystal system = trigonal
ΔE_f = -1.47 eV per formula unit
Symmetry = R3m

Lattice parameters (Å, degrees): 5.028 5.028 8.712 73.23 73.23 60.00
Site moments in Bohr magnetons follow the coordinates.
Element x y z (fractional)
Fe1 0.688 0.688 0.937  1.98
Fe2 0.933 0.436 0.196  1.94
Fe3 0.938 0.938 0.679  1.94
Fe4 0.436 0.933 0.196  1.94
Fe5 0.436 0.436 0.196  1.94
Fe6 0.938 0.444 0.679  1.94
Fe7 0.444 0.938 0.679  1.94
Fe8 0.188 0.188 0.437  1.91
Ta1 0.875 0.875 0.375  -0.67
Er1 0.500 0.500 0.499  -0.54
Er2 0.375 0.375 0.876  -0.62
Er3 0.999 0.999 0.003  -0.58

---

# 3
A relaxed structure of TbNdSm5Tm2. Source: Alexandria via LeMat-Bulk, functional GGA-PBE.

Results
Size of the total moment = 0.00 μB per formula unit
Crystal system = orthorhombic
ΔE_f = 1.36 eV per formula unit
Symmetry = Cmc2_1

Lattice parameters (Å, degrees): 5.636 10.481 10.689 90.00 90.00 105.60
Element x y z (fractional)
Sm1 0.393 0.785 0.026
Sm2 0.607 0.215 0.526
Sm3 0.702 0.404 0.205
Sm4 0.522 0.043 0.240
Sm5 0.983 0.966 0.524
Sm6 0.718 0.436 0.808
Sm7 0.282 0.564 0.308
Sm8 0.017 0.034 0.024
Sm9 0.478 0.957 0.740
Sm10 0.298 0.596 0.705
Nd1 0.799 0.597 0.510
Nd2 0.201 0.403 0.010
Tm1 0.884 0.768 0.819
Tm2 0.890 0.780 0.238
Tm3 0.110 0.220 0.738
Tm4 0.116 0.232 0.319
Tb1 0.587 0.175 0.954
Tb2 0.413 0.825 0.454

---

# 4
A relaxed structure of CeZnGa2Au5. Source: Alexandria via LeMat-Bulk, functional GGA-PBE.

Results
Size of the total moment = 1.00 μB per formula unit
Crystal system = tetragonal
ΔE_f = -2.08 eV per formula unit
Symmetry = P4/mmm

Lattice parameters (Å, degrees): 4.971 4.971 7.609 90.00 90.00 90.00
Site moments in Bohr magnetons follow the coordinates.
Element x y z (fractional)
Ce1 0.000 0.000 0.500  0.88
Au1 0.000 0.500 0.246  0.00
Au2 0.500 0.000 0.754  0.00
Au3 0.500 0.000 0.246  0.00
Au4 0.500 0.500 0.500  0.01
Au5 0.000 0.500 0.754  0.00
Ga1 0.500 0.500 0.841  0.00
Ga2 0.500 0.500 0.159  0.00
Zn1 0.000 0.000 0.000  0.00

---

# 5
A relaxed structure of HoMnIrPd. Source: Alexandria via LeMat-Bulk, functional GGA-PBE.

Results
Size of the total moment = 4.61 μB per formula unit
Crystal system = cubic
ΔE_f = -1.90 eV per formula unit
Symmetry = F-43m

Lattice parameters (Å, degrees): 4.639 4.639 4.639 60.00 60.00 60.00
Site moments in Bohr magnetons follow the coordinates.
Element x y z (fractional)
Mn1 0.750 0.750 0.750  3.95
Ir1 0.000 0.000 0.000  0.31
Pd1 0.500 0.500 0.500  0.12
Ho1 0.250 0.250 0.250  0.02

---

# 6
A relaxed structure of SmHo5Tm5. Source: Alexandria via LeMat-Bulk, functional GGA-PBE.

Results
Size of the total moment = 0.68 μB per formula unit
Crystal system = monoclinic
ΔE_f = 3.17 eV per formula unit
Symmetry = C2/m

Lattice parameters (Å, degrees): 5.837 9.868 6.879 111.21 90.00 107.20
Site moments in Bohr magnetons follow the coordinates.
Element x y z (fractional)
Tm1 0.331 0.662 0.835  0.03
Tm2 0.376 0.751 0.381  0.02
Tm3 0.624 0.249 0.619  0.02
Tm4 0.669 0.338 0.165  0.03
Tm5 0.000 0.000 0.500  0.03
Ho1 0.821 0.641 0.576  0.02
Ho2 0.820 0.641 0.067  0.01
Ho3 0.180 0.359 0.933  0.01
Ho4 0.500 0.000 0.000  0.25
Ho5 0.179 0.359 0.424  0.02
Sm1 0.000 0.000 0.000  0.18